(1)
This record from Alexandria via LeMat-Bulk describes crystalline Nd6Tl2N at its relaxed geometry. The functional is PBE.

Values from the calculation:
Symmetry: Amm2, No. 38
Electronic total energy, eV/atom: -4.93
Formation energy (no corrections), meV per atom: -300
DOS(E_F), states/eV per cell: 8.895

a b c (Å): 3.612 9.388 8.978
angles (deg): 121.52 90.00 90.00
Positions (direct):
1 Tl 0.000 0.307 0.667
2 Tl 0.000 0.640 0.333
3 Nd 0.000 0.227 0.000
4 Nd 0.500 0.398 0.422
5 Nd 0.500 0.593 0.000
6 Nd 0.500 0.976 0.578
7 Nd 0.000 0.794 0.789
8 Nd 0.000 0.005 0.211
9 N 0.500 0.058 0.000

(2)
This record from Alexandria via LeMat-Bulk describes crystalline Nd2TmTlN at its relaxed geometry. The functional is PBE.

Values from the calculation:
Symmetry: P4/mmm, No. 123
Electronic total energy, eV/atom: -5.79
Formation energy (no corrections), meV per atom: -849
DOS(E_F), states/eV per cell: 2.218

a b c (Å): 4.732 5.059 5.059
angles (deg): 90.00 90.00 90.00
Positions (direct):
1 Nd 0.000 0.000 0.500
2 Nd 0.000 0.500 0.000
3 N 0.000 0.000 0.000
4 Tl 0.500 0.500 0.500
5 Tm 0.500 0.000 0.000

(3)
This record from Alexandria via LeMat-Bulk describes crystalline NdY2TlN at its relaxed geometry. The functional is PBE.

Values from the calculation:
Symmetry: P4/mmm, No. 123
Electronic total energy, eV/atom: -6.58
Formation energy (no corrections), meV per atom: -900
DOS(E_F), states/eV per cell: 2.446

a b c (Å): 5.027 4.847 4.847
angles (deg): 90.00 90.00 90.00
Positions (direct):
1 Nd 0.500 0.000 0.000
2 Tl 0.500 0.500 0.500
3 N 0.000 0.000 0.000
4 Y 0.000 0.000 0.500
5 Y 0.000 0.500 0.000

(4)
This record from Alexandria via LeMat-Bulk describes crystalline Nd2Tm4N at its relaxed geometry. The functional is PBE.

Values from the calculation:
Symmetry: I4/mmm, No. 139
Electronic total energy, eV/atom: -5.41
Formation energy (no corrections), meV per atom: -308
DOS(E_F), states/eV per cell: 9.386

a b c (Å): 4.721 4.721 9.527
angles (deg): 75.65 75.65 90.00
Positions (direct):
1 Nd 0.675 0.675 0.650
2 Nd 0.325 0.325 0.350
3 N 0.000 0.000 0.000
4 Tm 0.500 0.000 0.000
5 Tm 0.000 0.500 0.000
6 Tm 0.871 0.871 0.259
7 Tm 0.129 0.129 0.741

(5)
This record from Alexandria via LeMat-Bulk describes crystalline NdTmN at its relaxed geometry. The functional is PBE.

Values from the calculation:
Symmetry: P3m1, No. 156
Electronic total energy, eV/atom: -6.82
Formation energy (no corrections), meV per atom: -969
DOS(E_F), states/eV per cell: 2.849

a b c (Å): 3.512 3.512 6.230
angles (deg): 90.00 90.00 120.00
Positions (direct):
1 Tm 0.333 0.667 0.540
2 N 0.667 0.333 0.359
3 Nd 0.000 0.000 0.101

(6)
This record from Alexandria via LeMat-Bulk describes crystalline NdTm5N6 at its relaxed geometry. The functional is PBE.

Values from the calculation:
Symmetry: C2/m, No. 12
Electronic total energy, eV/atom: -8.14
Formation energy (no corrections), meV per atom: -1721
DOS(E_F), states/eV per cell: 0.298

a b c (Å): 5.968 5.972 5.973
angles (deg): 60.00 80.41 70.53
Positions (direct):
1 Tm 0.000 0.333 0.333
2 Tm 0.500 0.832 0.336
3 Tm 0.500 0.500 0.000
4 Tm 0.500 0.168 0.664
5 Tm 0.000 0.667 0.667
6 N 0.745 0.428 0.657
7 N 0.745 0.085 0.343
8 N 0.255 0.572 0.343
9 N 0.255 0.258 0.000
10 N 0.745 0.742 0.000
11 N 0.255 0.915 0.657
12 Nd 0.000 0.000 0.000